DFT (GGA-PBE) results for a relaxed CaSb3As crystal.

Cell: 5.664 5.664 5.664 Å, 90.00 90.00 90.00°
Fractional coordinates of all 5 atoms:
Sb1 0.500 0.000 0.000
Sb2 0.000 0.000 0.500
Sb3 0.000 0.500 0.000
Ca1 0.000 0.000 0.000
As1 0.500 0.500 0.500

E above lowest polymorph, meV/atom: 778
Crystal system: cubic
Symmetry: Pm-3m
E_form (uncorrected), eV/f.u.: 4.63

DFT (GGA-PBE) results for a relaxed CuNiSe2 crystal.

Cell: 6.242 3.573 3.573 Å, 120.00 106.55 73.45°
Fractional coordinates of all 4 atoms:
Cu1 0.000 0.000 0.000
Se1 0.269 0.243 0.757
Se2 0.731 0.757 0.243
Ni1 0.500 0.500 0.500

Crystal system: monoclinic
Symmetry: C2/m
E_form (uncorrected), eV/f.u.: -0.50

DFT (GGA-PBE) results for a relaxed Ho2AlGa12 crystal.

Cell: 5.870 5.870 16.961 Å, 90.00 90.00 90.00°
Fractional coordinates of all 30 atoms:
Ga1 0.500 0.500 0.798
Ga2 0.675 0.175 0.434
Ga3 0.325 0.175 0.566
Ga4 0.175 0.325 0.434
Ga5 0.500 0.500 0.202
Ga6 0.175 0.675 0.566
Ga7 0.000 0.000 0.347
Ga8 0.825 0.675 0.434
Ga9 0.500 0.500 0.653
Ga10 0.252 0.752 0.895
Ga11 0.500 0.500 0.347
Ga12 0.000 0.000 0.202
Ga13 0.000 0.000 0.653
Ga14 0.252 0.248 0.105
Ga15 0.000 0.000 0.798
Ga16 0.748 0.248 0.895
Ga17 0.825 0.325 0.566
Ga18 0.248 0.748 0.105
Ga19 0.752 0.252 0.105
Ga20 0.752 0.748 0.895
Ga21 0.248 0.252 0.895
Ga22 0.325 0.825 0.434
Ga23 0.675 0.825 0.566
Ga24 0.748 0.752 0.105
Ho1 0.000 0.500 0.726
Ho2 0.500 0.000 0.274
Ho3 0.500 0.000 0.726
Ho4 0.000 0.500 0.274
Al1 0.500 0.000 0.000
Al2 0.000 0.500 0.000

Calculated formation energy, kcal/mol of atoms: -5.61
Crystal system: tetragonal
Symmetry: P4/nbm

DFT (GGA-PBE) results for a relaxed RbZnHg2Ir crystal.

Cell: 5.319 6.186 5.319 Å, 90.00 90.00 90.00°
Each line ends with the local moment (μB).
Fractional coordinates of all 5 atoms:
Ir1 0.000 0.000 0.000  0.17
Hg1 0.000 0.000 0.500  0.00
Hg2 0.500 0.000 0.000  0.00
Zn1 0.500 0.500 0.500  0.00
Rb1 0.000 0.500 0.000  0.01

E above lowest polymorph, meV/atom: 511
Calculated formation energy, kcal/mol of atoms: 10.35
Crystal system: tetragonal
Symmetry: P4/mmm

DFT (GGA-PBE) results for a relaxed PmZrCoTc crystal.

Cell: 4.734 4.734 4.734 Å, 60.00 60.00 60.00°
Fractional coordinates of all 4 atoms:
Co1 0.250 0.250 0.250
Tc1 0.750 0.750 0.750
Pm1 0.000 0.000 0.000
Zr1 0.500 0.500 0.500

Calculated formation energy, kcal/mol of atoms: -0.31
Crystal system: cubic
Symmetry: F-43m

DFT (GGA-PBE) results for a relaxed Yb3Ge13Os4 crystal.

Cell: 9.093 9.093 9.093 Å, 90.00 90.00 90.00°
Each line ends with the local moment (μB).
Fractional coordinates of all 40 atoms:
Yb1 0.000 0.750 0.500  0.18
Yb2 0.250 0.500 0.000  0.18
Yb3 0.000 0.250 0.500  0.18
Yb4 0.750 0.500 0.000  0.18
Yb5 0.500 0.000 0.250  0.18
Yb6 0.500 0.000 0.750  0.18
Ge1 0.500 0.500 0.500  0.00
Ge2 0.145 0.000 0.295  0.00
Ge3 0.645 0.795 0.500  0.00
Ge4 0.500 0.645 0.795  0.00
Ge5 0.000 0.000 0.000  0.00
Ge6 0.795 0.500 0.645  0.00
Ge7 0.355 0.795 0.500  0.00
Ge8 0.645 0.205 0.500  0.00
Ge9 0.295 0.855 0.000  0.00
Ge10 0.855 0.000 0.705  0.00
Ge11 0.500 0.355 0.205  0.00
Ge12 0.855 0.000 0.295  0.00
Ge13 0.205 0.500 0.645  0.00
Ge14 0.000 0.295 0.855  0.00
Ge15 0.795 0.500 0.355  0.00
Ge16 0.000 0.705 0.855  0.00
Ge17 0.205 0.500 0.355  0.00
Ge18 0.705 0.855 0.000  0.00
Ge19 0.500 0.355 0.795  0.00
Ge20 0.705 0.145 0.000  0.00
Ge21 0.355 0.205 0.500  0.00
Ge22 0.500 0.645 0.205  0.00
Ge23 0.145 0.000 0.705  0.00
Ge24 0.295 0.145 0.000  0.00
Ge25 0.000 0.705 0.145  0.00
Ge26 0.000 0.295 0.145  0.00
Os1 0.250 0.250 0.250  0.01
Os2 0.250 0.250 0.750  0.01
Os3 0.750 0.250 0.750  0.01
Os4 0.750 0.750 0.250  0.01
Os5 0.250 0.750 0.250  0.01
Os6 0.250 0.750 0.750  0.01
Os7 0.750 0.250 0.250  0.01
Os8 0.750 0.750 0.750  0.01

Calculated formation energy, kcal/mol of atoms: -6.16
Crystal system: cubic
Symmetry: Pm-3n

DFT (GGA-PBE) results for a relaxed Sr2ZnPdBr crystal.

Cell: 5.926 5.926 4.812 Å, 90.00 90.00 90.00°
Fractional coordinates of all 5 atoms:
Br1 0.500 0.500 0.500
Pd1 0.000 0.000 0.000
Sr1 0.500 0.000 0.000
Sr2 0.000 0.500 0.000
Zn1 0.000 0.000 0.500

Crystal system: tetragonal
Symmetry: P4/mmm
E_form (uncorrected), eV/f.u.: -3.61

DFT (GGA-PBE) results for a relaxed Nb3SiPb crystal.

Cell: 4.729 4.729 4.729 Å, 90.00 90.00 90.00°
Fractional coordinates of all 5 atoms:
Pb1 0.500 0.500 0.500
Nb1 0.000 0.500 0.000
Nb2 0.500 0.000 0.000
Nb3 0.000 0.000 0.500
Si1 0.000 0.000 0.000

E above lowest polymorph, meV/atom: 0
Crystal system: cubic
Symmetry: Pm-3m
E_form (uncorrected), eV/f.u.: 2.81

DFT (GGA-PBE) results for a relaxed BiAu2F crystal.

Cell: 4.810 4.810 4.810 Å, 60.00 60.00 60.00°
Fractional coordinates of all 4 atoms:
Au1 0.750 0.750 0.750
Au2 0.250 0.250 0.250
Bi1 0.500 0.500 0.500
F1 0.000 0.000 0.000

E above lowest polymorph, meV/atom: 193
Crystal system: cubic
Symmetry: Fm-3m
E_form (uncorrected), eV/f.u.: -1.09

DFT (GGA-PBE) results for a relaxed Er5PtRh4 crystal.

Cell: 3.380 3.380 17.324 Å, 90.00 90.00 90.00°
Fractional coordinates of all 10 atoms:
Er1 0.500 0.500 0.103
Er2 0.500 0.500 0.699
Er3 0.500 0.500 0.897
Er4 0.500 0.500 0.301
Er5 0.500 0.500 0.500
Rh1 0.000 0.000 0.400
Rh2 0.000 0.000 0.202
Rh3 0.000 0.000 0.600
Rh4 0.000 0.000 0.798
Pt1 0.000 0.000 0.000

Calculated formation energy, kcal/mol of atoms: -23.13
Crystal system: tetragonal
Symmetry: P4/mmm

DFT (GGA-PBE) results for a relaxed UPaAs2O crystal.

Cell: 3.970 3.970 13.289 Å, 90.00 90.00 90.00°
Each line ends with the local moment (μB).
Fractional coordinates of all 10 atoms:
O1 0.000 0.000 0.500  -0.08
O2 0.500 0.500 0.500  -0.08
Pa1 0.500 0.000 0.104  0.03
Pa2 0.000 0.500 0.896  0.03
As1 0.500 0.000 0.314  -0.10
As2 0.000 0.500 0.686  -0.10
As3 0.000 0.500 0.125  -0.01
As4 0.500 0.000 0.875  -0.01
U1 0.000 0.500 0.406  1.87
U2 0.500 0.000 0.594  1.87

Crystal system: tetragonal
Symmetry: P4/nmm
E_form (uncorrected), eV/f.u.: -7.40

DFT (GGA-PBE) results for a relaxed Ac3Sn5Se12 crystal.

Cell: 14.946 14.946 14.946 Å, 109.47 109.47 109.47°
Fractional coordinates of all 80 atoms:
Se1 0.370 0.960 0.782
Se2 0.412 0.130 0.591
Se3 0.322 0.540 0.409
Se4 0.630 0.591 0.912
Se5 0.409 0.370 0.588
Se6 0.409 0.040 0.322
Se7 0.460 0.678 0.091
Se8 0.630 0.040 0.218
Se9 0.040 0.409 0.822
Se10 0.370 0.409 0.088
Se11 0.130 0.718 0.540
Se12 0.282 0.412 0.822
Se13 0.540 0.322 0.909
Se14 0.282 0.870 0.960
Se15 0.909 0.088 0.870
Se16 0.591 0.960 0.678
Se17 0.178 0.091 0.960
Se18 0.218 0.678 0.088
Se19 0.909 0.822 0.540
Se20 0.040 0.630 0.718
Se21 0.822 0.909 0.040
Se22 0.912 0.822 0.782
Se23 0.912 0.091 0.630
Se24 0.588 0.870 0.409
Se25 0.540 0.218 0.130
Se26 0.718 0.588 0.178
Se27 0.870 0.588 0.909
Se28 0.782 0.460 0.370
Se29 0.412 0.282 0.322
Se30 0.718 0.130 0.040
Se31 0.178 0.088 0.718
Se32 0.130 0.412 0.091
Se33 0.088 0.178 0.218
Se34 0.218 0.540 0.630
Se35 0.591 0.630 0.412
Se36 0.322 0.782 0.412
Se37 0.678 0.218 0.588
Se38 0.588 0.718 0.678
Se39 0.088 0.909 0.370
Se40 0.678 0.460 0.591
Se41 0.091 0.178 0.460
Se42 0.782 0.322 0.912
Se43 0.960 0.591 0.178
Se44 0.870 0.282 0.460
Se45 0.460 0.782 0.870
Se46 0.822 0.912 0.282
Se47 0.960 0.370 0.282
Se48 0.091 0.912 0.130
Sn1 0.000 0.500 0.500
Sn2 0.125 0.375 0.250
Sn3 0.625 0.750 0.875
Sn4 0.000 0.000 0.500
Sn5 0.375 0.125 0.750
Sn6 0.000 0.500 0.000
Sn7 0.750 0.625 0.375
Sn8 0.000 0.000 0.000
Sn9 0.375 0.250 0.125
Sn10 0.250 0.375 0.625
Sn11 0.500 0.500 0.000
Sn12 0.500 0.000 0.000
Sn13 0.625 0.875 0.250
Sn14 0.875 0.625 0.750
Sn15 0.250 0.875 0.125
Sn16 0.750 0.125 0.875
Sn17 0.875 0.250 0.625
Sn18 0.125 0.750 0.375
Sn19 0.500 0.500 0.500
Sn20 0.500 0.000 0.500
Ac1 0.750 0.875 0.625
Ac2 0.250 0.625 0.875
Ac3 0.750 0.375 0.125
Ac4 0.250 0.125 0.375
Ac5 0.625 0.375 0.750
Ac6 0.875 0.750 0.125
Ac7 0.875 0.125 0.250
Ac8 0.375 0.750 0.625
Ac9 0.125 0.250 0.875
Ac10 0.375 0.625 0.250
Ac11 0.125 0.875 0.750
Ac12 0.625 0.250 0.375

Crystal system: cubic
Symmetry: Ia-3d
E_form (uncorrected), eV/f.u.: -19.35